No. 1
This record from OQMD describes an optimized crystal structure of AsW. The functional is PBE-GGA.

a b c (Å): 5.165 4.367 6.673
angles (deg): 90.00 90.00 90.00
Atoms (fractional coordinates):
As (0.750, 0.000, 0.724)
As (0.250, 0.000, 0.276)
As (0.250, 0.500, 0.877)
As (0.750, 0.500, 0.123)
W (0.250, 0.000, 0.673)
W (0.750, 0.000, 0.327)
W (0.500, 0.500, 0.500)
W (0.000, 0.500, 0.500)


No. 2
This record from OQMD describes an optimized crystal structure of As2W. The functional is PBE-GGA.

a b c (Å): 4.877 4.877 7.755
angles (deg): 117.31 117.31 40.13
Atoms (fractional coordinates):
W (0.152, 0.152, 0.700)
W (0.848, 0.848, 0.300)
As (0.854, 0.854, 0.968)
As (0.403, 0.403, 0.609)
As (0.146, 0.146, 0.032)
As (0.597, 0.597, 0.391)


No. 3
This record from OQMD describes an optimized crystal structure of As2W. The functional is PBE-GGA.

a b c (Å): 7.221 3.296 8.462
angles (deg): 90.00 90.00 90.00
Atoms (fractional coordinates):
As (0.375, 0.250, 0.085)
As (0.449, 0.250, 0.646)
As (0.625, 0.750, 0.915)
As (0.551, 0.750, 0.354)
As (0.051, 0.750, 0.146)
As (0.875, 0.250, 0.415)
As (0.949, 0.250, 0.854)
As (0.125, 0.750, 0.585)
W (0.736, 0.250, 0.132)
W (0.764, 0.750, 0.632)
W (0.264, 0.750, 0.868)
W (0.236, 0.250, 0.368)


| no. | VASP energy (eV/cell) |
| --- | --- |
| 1 | -67.97 |
| 2 | -44.94 |
| 3 | -87.34 |